Compound: Sc3AuF
Source: Alexandria
Functional: GGA-PBEsol
Structure: optimized geometry

Cell: 5.1402 5.1402 5.1402 Å, 90.00 90.00 90.00°
With the nearest neighbours (Å) after each atom.
Space group Pm-3m (No. 221)
Unique sites:
Sc 0.0000 0.0000 0.5000 x3  2 Au 2.57
Au 0.0000 0.0000 0.0000 x1  6 Sc 2.57
F 0.5000 0.5000 0.5000 x1  12 Sc 3.63

Summary:
crystal system = cubic
uncorrected formation energy = -209.2 meV/atom
mass density = 4.29 Mg/m³
DOS(E_F) = 5.234 states/eV/cell